VASP calculation (PBE) on a relaxed AgSb2Ru crystal.

Cell: 6.356 6.356 7.215 Å, 63.87 63.87 90.00°
Positions (direct):
Sb: 0.591 0.125 0.250
Ag: 0.000 0.000 0.000
Ru: 0.250 0.750 0.500
Ru: 0.500 0.500 0.000
Sb: 0.159 0.625 0.250
Sb: 0.875 0.841 0.750
Ag: 0.750 0.250 0.500
Sb: 0.375 0.409 0.750

Summary:
Total DFT energy (no corrections), Ry per atom: -0.3487
Mass density, g cm⁻³: 6.59
Calculated volume, Å³ per atom: 28.50
Uncorrected formation energy, meV/atom: 348.1